An optimized crystal structure of NaMnF3, computed with PBE+U.

Unit cell a=5.630 b=5.630 c=6.046 alpha=62.25 beta=62.25 gamma=60.00
Site moments in Bohr magnetons follow the coordinates.
Atoms (fractional coordinates):
Na (0.859, 0.859, 0.424)  0.00
Na (0.141, 0.141, 0.576)  0.00
Mn (0.348, 0.348, 0.956)  4.69
Mn (0.652, 0.652, 0.044)  4.69
F (0.721, 0.457, 0.768)  0.04
F (0.054, 0.721, 0.768)  0.04
F (0.457, 0.054, 0.768)  0.04
F (0.279, 0.543, 0.232)  0.04
F (0.946, 0.279, 0.232)  0.04
F (0.543, 0.946, 0.232)  0.04

Summary:
- electronic total energy (eV/atom) = -5.60
- space group = R-3
- M_tot (μB/f.u.) = 5.000